Model one:
VASP calculation (GGA-PBE) on an optimized crystal structure of BeGe3Au.

abc: 5.025 5.025 5.025
angles: 90.00 90.00 90.00
Element x y z (fractional)
Be 0.000 0.000 0.000
Ge 0.000 0.500 0.500
Ge 0.500 0.000 0.500
Ge 0.500 0.500 0.000
Au 0.500 0.500 0.500

Results
The value obtained for the density of states at the Fermi level is 3.837 states/eV/f.u. As for the density: 5.55 g/cm3. The calculated volume comes out at 126.9 Å³ per cell.

---

Model two:
VASP calculation (GGA-PBE) on an optimized crystal structure of BeGe3Au.

abc: 4.511 4.511 4.511
angles: 90.00 90.00 90.00
Element x y z (fractional)
Be 0.000 0.000 0.000
Ge 0.000 0.000 0.500
Ge 0.000 0.500 0.000
Ge 0.500 0.000 0.000
Au 0.500 0.500 0.500

Results
The value obtained for the density of states at the Fermi level is 2.934 states/eV/f.u. As for the density: 7.67 g/cm3. The calculated volume comes out at 91.8 Å³ per cell.

---

Q: What are the energies relative to the best structure? A: model one 651; model two 0, in meV per atom.

---

Model one:
VASP calculation (GGA-PBE) on an optimized crystal structure of BeH3Au.

abc: 3.654 3.654 3.654
angles: 90.00 90.00 90.00
Element x y z (fractional)
Be 0.000 0.000 0.000
H 0.000 0.500 0.500
H 0.500 0.000 0.500
H 0.500 0.500 0.000
Au 0.500 0.500 0.500

Results
The value obtained for the density of states at the Fermi level is 1.569 states/eV/f.u. As for the density: 7.11 g/cm3. The calculated volume comes out at 48.8 Å³ per cell.

---

Model two:
VASP calculation (GGA-PBE) on an optimized crystal structure of BeH3Au.

abc: 3.419 3.419 3.419
angles: 90.00 90.00 90.00
Element x y z (fractional)
Be 0.000 0.000 0.000
H 0.000 0.000 0.500
H 0.000 0.500 0.000
H 0.500 0.000 0.000
Au 0.500 0.500 0.500

Results
The value obtained for the density of states at the Fermi level is 0.438 states/eV/f.u. As for the density: 8.69 g/cm3. The calculated volume comes out at 40.0 Å³ per cell.

---

Q: What are the energies relative to the best structure? A: model one 81; model two 0, in meV per atom.

---

Model one:
VASP calculation (GGA-PBE) on an optimized crystal structure of Hf2BeAu2.

abc: 7.959 7.959 7.959
angles: 153.24 153.24 38.20
Element x y z (fractional)
Hf 0.097 0.097 0.000
Hf 0.903 0.903 0.000
Be 0.500 0.500 0.000
Au 0.250 0.750 0.500
Au 0.750 0.250 0.500

Results
The value obtained for the density of states at the Fermi level is 5.443 states/eV/f.u. As for the density: 12.37 g/cm3. The calculated volume comes out at 102.1 Å³ per cell.

---

Model two:
VASP calculation (GGA-PBE) on an optimized crystal structure of Hf2BeAu2.

abc: 7.436 7.436 3.586
angles: 90.00 90.00 90.00
Element x y z (fractional)
Hf 0.167 0.333 0.000
Hf 0.333 0.833 0.000
Hf 0.667 0.167 0.000
Hf 0.833 0.667 0.000
Be 0.000 0.000 0.000
Be 0.500 0.500 0.000
Au 0.135 0.635 0.500
Au 0.365 0.135 0.500
Au 0.635 0.865 0.500
Au 0.865 0.365 0.500

Results
The value obtained for the density of states at the Fermi level is 4.474 states/eV/f.u. As for the density: 12.73 g/cm3. The calculated volume comes out at 198.2 Å³ per cell.

---

Model three:
VASP calculation (GGA-PBE) on an optimized crystal structure of Hf2BeAu2.

abc: 6.340 6.340 4.561
angles: 90.00 90.00 90.00
Element x y z (fractional)
Hf 0.171 0.329 0.000
Hf 0.329 0.829 0.000
Hf 0.671 0.171 0.000
Hf 0.829 0.671 0.000
Be 0.000 0.000 0.500
Be 0.500 0.500 0.500
Au 0.154 0.654 0.500
Au 0.346 0.154 0.500
Au 0.654 0.846 0.500
Au 0.846 0.346 0.500

Results
The value obtained for the density of states at the Fermi level is 2.676 states/eV/f.u. As for the density: 13.77 g/cm3. The calculated volume comes out at 183.3 Å³ per cell.

---

Q: What are the energies relative to the best structure? A: model one 562; model two 288; model three 0, in meV per atom.

---

Model one:
VASP calculation (GGA-PBE) on an optimized crystal structure of HfBeAu.

abc: 4.166 4.166 3.259
angles: 90.00 90.00 120.00
Element x y z (fractional)
Hf 0.000 0.000 0.000
Be 0.667 0.333 0.500
Au 0.333 0.667 0.500

Results
The value obtained for the density of states at the Fermi level is 2.827 states/eV/f.u. As for the density: 13.03 g/cm3. The calculated volume comes out at 49.0 Å³ per cell.

---

Model two:
VASP calculation (GGA-PBE) on an optimized crystal structure of HfBeAu.

abc: 5.570 5.570 5.570
angles: 148.29 148.29 45.46
Element x y z (fractional)
Hf 0.000 0.000 0.000
Be 0.328 0.328 0.000
Au 0.704 0.704 0.000

Results
The value obtained for the density of states at the Fermi level is 1.994 states/eV/f.u. As for the density: 13.41 g/cm3. The calculated volume comes out at 47.6 Å³ per cell.

---

Q: What are the energies relative to the best structure? A: model one 0; model two 116, in meV per atom.

---

Model one:
VASP calculation (GGA-PBE) on an optimized crystal structure of HfBeAu.

abc: 11.397 3.799 6.511
angles: 90.00 90.00 90.00
Element x y z (fractional)
Hf 0.038 0.000 0.228
Hf 0.250 0.000 0.860
Hf 0.462 0.000 0.228
Hf 0.538 0.000 0.772
Hf 0.750 0.000 0.140
Hf 0.962 0.000 0.772
Be 0.090 0.500 0.950
Be 0.250 0.000 0.431
Be 0.410 0.500 0.950
Be 0.590 0.500 0.050
Be 0.750 0.000 0.569
Be 0.910 0.500 0.050
Au 0.122 0.500 0.581
Au 0.250 0.500 0.194
Au 0.378 0.500 0.581
Au 0.622 0.500 0.419
Au 0.750 0.500 0.806
Au 0.878 0.500 0.419

Results
The value obtained for the density of states at the Fermi level is 1.536 states/eV/f.u. As for the density: 13.59 g/cm3. The calculated volume comes out at 281.9 Å³ per cell.

---

Model two:
VASP calculation (GGA-PBE) on an optimized crystal structure of HfBeAu.

abc: 5.894 5.894 4.960
angles: 104.23 104.23 34.62
Element x y z (fractional)
Hf 0.133 0.133 0.324
Hf 0.867 0.867 0.676
Be 0.233 0.233 0.863
Be 0.767 0.767 0.137
Au 0.417 0.417 0.225
Au 0.583 0.583 0.775

Results
The value obtained for the density of states at the Fermi level is 1.292 states/eV/f.u. As for the density: 13.50 g/cm3. The calculated volume comes out at 94.6 Å³ per cell.

---

Q: What are the energies relative to the best structure? A: model one 0; model two 33, in meV per atom.

---

Model one:
VASP calculation (GGA-PBE) on an optimized crystal structure of HfBe3Au.

abc: 4.612 4.612 4.612
angles: 90.00 90.00 90.00
Element x y z (fractional)
Hf 0.000 0.000 0.000
Be 0.000 0.000 0.500
Be 0.000 0.500 0.000
Be 0.500 0.000 0.000
Au 0.500 0.500 0.500

Results
The value obtained for the density of states at the Fermi level is 5.524 states/eV/f.u. As for the density: 6.81 g/cm3. The calculated volume comes out at 98.1 Å³ per cell.

---

Model two:
VASP calculation (GGA-PBE) on an optimized crystal structure of HfBe3Au.

abc: 4.247 4.247 4.247
angles: 90.00 90.00 90.00
Element x y z (fractional)
Hf 0.000 0.000 0.000
Be 0.000 0.500 0.500
Be 0.500 0.000 0.500
Be 0.500 0.500 0.000
Au 0.500 0.500 0.500

Results
The value obtained for the density of states at the Fermi level is 2.681 states/eV/f.u. As for the density: 8.73 g/cm3. The calculated volume comes out at 76.6 Å³ per cell.

---

Q: What are the energies relative to the best structure? A: model one 1407; model two 0, in meV per atom.

---

Model one:
VASP calculation (GGA-PBE) on an optimized crystal structure of HfBeAu3.

abc: 5.234 5.234 5.234
angles: 90.00 90.00 90.00
Element x y z (fractional)
Hf 0.000 0.000 0.000
Be 0.500 0.500 0.500
Au 0.000 0.000 0.500
Au 0.000 0.500 0.000
Au 0.500 0.000 0.000

Results
The value obtained for the density of states at the Fermi level is 2.310 states/eV/f.u. As for the density: 9.02 g/cm3. The calculated volume comes out at 143.3 Å³ per cell.

---

Model two:
VASP calculation (GGA-PBE) on an optimized crystal structure of HfBeAu3.

abc: 4.448 4.448 4.448
angles: 90.00 90.00 90.00
Element x y z (fractional)
Hf 0.000 0.000 0.000
Be 0.500 0.500 0.500
Au 0.000 0.500 0.500
Au 0.500 0.000 0.500
Au 0.500 0.500 0.000

Results
The value obtained for the density of states at the Fermi level is 3.151 states/eV/f.u. As for the density: 14.69 g/cm3. The calculated volume comes out at 88.0 Å³ per cell.

---

Q: What are the energies relative to the best structure? A: model one 1120; model two 0, in meV per atom.

---

Model one:
VASP calculation (GGA-PBE) on an optimized crystal structure of BeHgAu4.

abc: 7.404 7.404 5.409
angles: 108.66 108.66 50.66
Element x y z (fractional)
Be 0.002 0.002 0.300
Be 0.998 0.998 0.700
Hg 0.298 0.298 0.869
Hg 0.702 0.702 0.131
Au 0.157 0.616 0.397
Au 0.191 0.191 0.263
Au 0.269 0.731 0.000
Au 0.384 0.843 0.603
Au 0.616 0.157 0.397
Au 0.731 0.269 0.000
Au 0.809 0.809 0.737
Au 0.843 0.384 0.603

Results
The value obtained for the density of states at the Fermi level is 1.172 states/eV/f.u. As for the density: 15.45 g/cm3. The calculated volume comes out at 214.5 Å³ per cell.

---

Model two:
VASP calculation (GGA-PBE) on an optimized crystal structure of BeHgAu4.

abc: 5.520 5.520 5.520
angles: 60.00 60.00 60.00
Element x y z (fractional)
Be 0.000 0.000 0.000
Hg 0.750 0.750 0.750
Au 0.375 0.375 0.375
Au 0.375 0.375 0.876
Au 0.375 0.876 0.375
Au 0.876 0.375 0.375

Results
The value obtained for the density of states at the Fermi level is 2.192 states/eV/f.u. As for the density: 13.92 g/cm3. The calculated volume comes out at 119.0 Å³ per cell.

---

Q: What are the energies relative to the best structure? A: model one 0; model two 369, in meV per atom.

---

Model one:
VASP calculation (GGA-PBE) on an optimized crystal structure of Be2HgAu2.

abc: 7.026 7.026 7.026
angles: 151.47 151.47 40.78
Element x y z (fractional)
Be 0.250 0.750 0.500
Be 0.750 0.250 0.500
Hg 0.000 0.000 0.000
Au 0.371 0.371 0.000
Au 0.629 0.629 0.000

Results
The value obtained for the density of states at the Fermi level is 1.397 states/eV/f.u. As for the density: 12.89 g/cm3. The calculated volume comes out at 78.9 Å³ per cell.

---

Model two:
VASP calculation (GGA-PBE) on an optimized crystal structure of Be2HgAu2.

abc: 7.230 7.230 2.939
angles: 90.00 90.00 90.00
Element x y z (fractional)
Be 0.143 0.357 0.000
Be 0.357 0.857 0.000
Be 0.643 0.143 0.000
Be 0.857 0.643 0.000
Hg 0.000 0.000 0.500
Hg 0.500 0.500 0.500
Au 0.144 0.644 0.500
Au 0.356 0.144 0.500
Au 0.644 0.856 0.500
Au 0.856 0.356 0.500

Results
The value obtained for the density of states at the Fermi level is 0.629 states/eV/f.u. As for the density: 13.24 g/cm3. The calculated volume comes out at 153.6 Å³ per cell.

---

Q: What are the energies relative to the best structure? A: model one 0; model two 107, in meV per atom.

---

Model one:
VASP calculation (GGA-PBE) on an optimized crystal structure of BeHgAu3.

abc: 5.224 5.224 5.224
angles: 90.00 90.00 90.00
Element x y z (fractional)
Be 0.000 0.000 0.000
Hg 0.500 0.500 0.500
Au 0.000 0.500 0.500
Au 0.500 0.000 0.500
Au 0.500 0.500 0.000

Results
The value obtained for the density of states at the Fermi level is 2.513 states/eV/f.u. As for the density: 9.32 g/cm3. The calculated volume comes out at 142.6 Å³ per cell.

---

Model two:
VASP calculation (GGA-PBE) on an optimized crystal structure of BeHgAu3.

abc: 4.532 4.532 4.532
angles: 90.00 90.00 90.00
Element x y z (fractional)
Be 0.000 0.000 0.000
Hg 0.500 0.500 0.500
Au 0.000 0.000 0.500
Au 0.000 0.500 0.000
Au 0.500 0.000 0.000

Results
The value obtained for the density of states at the Fermi level is 2.179 states/eV/f.u. As for the density: 14.28 g/cm3. The calculated volume comes out at 93.1 Å³ per cell.

---

Model three:
VASP calculation (GGA-PBE) on an optimized crystal structure of BeHgAu3.

abc: 5.098 6.614 6.921
angles: 117.41 92.94 110.65
Element x y z (fractional)
Be 0.242 0.175 0.093
Be 0.758 0.825 0.907
Hg 0.246 0.730 0.346
Hg 0.754 0.270 0.654
Au 0.019 0.987 0.705
Au 0.253 0.757 0.875
Au 0.500 0.500 0.000
Au 0.500 0.500 0.500
Au 0.747 0.243 0.125
Au 0.981 0.013 0.295

Results
The value obtained for the density of states at the Fermi level is 1.102 states/eV/f.u. As for the density: 14.19 g/cm3. The calculated volume comes out at 187.3 Å³ per cell.

---

Q: What are the energies relative to the best structure? A: model one 1193; model two 179; model three 0, in meV per atom.

---

Model one:
VASP calculation (GGA-PBE) on an optimized crystal structure of BeHg3Au.

abc: 5.460 5.460 5.460
angles: 90.00 90.00 90.00
Element x y z (fractional)
Be 0.000 0.000 0.000
Hg 0.000 0.500 0.500
Hg 0.500 0.000 0.500
Hg 0.500 0.500 0.000
Au 0.500 0.500 0.500

Results
The value obtained for the density of states at the Fermi level is 1.526 states/eV/f.u. As for the density: 8.24 g/cm3. The calculated volume comes out at 162.8 Å³ per cell.

---

Model two:
VASP calculation (GGA-PBE) on an optimized crystal structure of BeHg3Au.

abc: 4.821 4.821 4.821
angles: 90.00 90.00 90.00
Element x y z (fractional)
Be 0.000 0.000 0.000
Hg 0.000 0.000 0.500
Hg 0.000 0.500 0.000
Hg 0.500 0.000 0.000
Au 0.500 0.500 0.500

Results
The value obtained for the density of states at the Fermi level is 2.121 states/eV/f.u. As for the density: 11.97 g/cm3. The calculated volume comes out at 112.0 Å³ per cell.

---

Q: What are the energies relative to the best structure? A: model one 338; model two 0, in meV per atom.

---

Model one:
VASP calculation (GGA-PBE) on an optimized crystal structure of Ho2BeAu.

abc: 3.515 3.515 6.868
angles: 90.00 90.00 90.00
Element x y z (fractional)
Ho 0.000 0.000 0.237
Ho 0.000 0.000 0.763
Be 0.500 0.500 0.000
Au 0.500 0.500 0.500

Results
The value obtained for the density of states at the Fermi level is 2.913 states/eV/f.u. As for the density: 10.49 g/cm3. The calculated volume comes out at 84.9 Å³ per cell.

---

Model two:
VASP calculation (GGA-PBE) on an optimized crystal structure of Ho2BeAu.

abc: 4.969 4.969 4.969
angles: 60.00 60.00 60.00
Element x y z (fractional)
Ho 0.250 0.250 0.250
Ho 0.750 0.750 0.750
Be 0.000 0.000 0.000
Au 0.500 0.500 0.500

Results
The value obtained for the density of states at the Fermi level is 4.250 states/eV/f.u. As for the density: 10.26 g/cm3. The calculated volume comes out at 86.7 Å³ per cell.

---

Q: What are the energies relative to the best structure? A: model one 0; model two 43, in meV per atom.